No. 1
Sc4GeBiSe2 | PBE | relaxed

Lattice parameters (Å, degrees): 6.915 3.969 6.936 90.00 109.20 90.00
Fractional positions:
Sc 0.243 0.000 0.228
Sc 0.255 0.500 0.767
Sc 0.745 0.500 0.233
Sc 0.757 0.000 0.772
Ge 0.500 0.000 0.000
Bi 0.500 0.500 0.500
Se 0.000 0.000 0.500
Se 0.000 0.500 0.000

The uncorrected formation energy is -1.17 eV/atom. For the energy, the calculation gives -6.268 eV per atom. The calculation puts the theoretical density at 5.721 Mg/m³. As for the spin magnetization: 0.00 Bohr magnetons per cell. As for the space group: P2/m (10).

=====

No. 2
Ba3HgBi2O9 | PBE | relaxed

Lattice parameters (Å, degrees): 6.176 6.176 7.610 90.00 90.00 120.00
Fractional positions:
Ba 0.000 0.000 0.000
Ba 0.333 0.667 0.657
Ba 0.667 0.333 0.343
Hg 0.000 0.000 0.500
Bi 0.333 0.667 0.168
Bi 0.667 0.333 0.832
O 0.000 0.500 0.000
O 0.170 0.340 0.324
O 0.170 0.830 0.324
O 0.340 0.170 0.676
O 0.500 0.000 0.000
O 0.500 0.500 0.000
O 0.660 0.830 0.324
O 0.830 0.170 0.676
O 0.830 0.660 0.676

The uncorrected formation energy is -1.58 eV/atom. For the energy, the calculation gives -5.475 eV per atom. The calculation puts the theoretical density at 7.759 Mg/m³. As for the spin magnetization: 0.00 Bohr magnetons per cell. As for the space group: P-3m1 (164).

=====

No. 3
ZrTa2SnH | PBE | relaxed

Lattice parameters (Å, degrees): 4.195 4.195 4.602 90.00 90.00 90.00
Fractional positions:
Zr 0.000 0.000 0.000
Ta 0.000 0.500 0.500
Ta 0.500 0.000 0.500
Sn 0.500 0.500 0.000
H 0.000 0.000 0.500

For the energy, the calculation gives -8.075 eV per atom. The calculation puts the theoretical density at 11.745 Mg/m³. As for the spin magnetization: 0.00 Bohr magnetons per cell. As for the space group: P4/mmm (123).

=====

No. 4
TiGe | PBE | relaxed

Lattice parameters (Å, degrees): 5.866 5.866 5.866 101.40 101.40 127.20
Fractional positions:
Ti 0.071 0.705 0.776
Ti 0.295 0.071 0.366
Ti 0.705 0.929 0.634
Ti 0.929 0.295 0.224
Ge 0.256 0.419 0.675
Ge 0.419 0.744 0.163
Ge 0.581 0.256 0.837
Ge 0.744 0.581 0.325

The calculation puts the energy of formation from the pure elements at -158 meV per atom. For the energy, the calculation gives -6.414 eV per atom. The calculation puts the theoretical density at 5.559 Mg/m³. As for the spin magnetization: 0.00 Bohr magnetons per cell. As for the space group: I4/m (87).

=====

No. 5
CdFe2Tc | PBE | relaxed

Lattice parameters (Å, degrees): 2.836 2.836 7.236 90.00 90.00 90.00
Fractional positions:
Cd 0.000 0.000 0.000
Fe 0.000 0.000 0.485
Fe 0.500 0.500 0.284
Tc 0.500 0.500 0.695

The calculation puts the energy of formation from the pure elements at 237 meV per atom. For the energy, the calculation gives -6.814 eV per atom. The calculation puts the theoretical density at 9.190 Mg/m³. As for the spin magnetization: 4.70 Bohr magnetons per cell. As for the space group: P4mm (99).

=====

> What is the formula in the fourth record?

TiGe